TiAlSnP2 | Alexandria via LeMat-Bulk | PBEsol | optimized geometry; density of states at the Fermi level = 3.24 states/eV per cell; ΔH_f (0 K) = 0.285 eV per atom
1.0
4.615 0.000 0.000
0.000 4.615 0.000
0.000 0.000 5.272
Sn Ti P Al
1 1 2 1
Direct
0.000 0.000 0.500
0.000 0.000 0.000
0.500 0.000 0.000
0.000 0.500 0.000
0.500 0.500 0.500